1.
This record from Alexandria describes Hf2ScMo after structural relaxation. The functional is PBE-GGA.

Lattice parameters (Å, degrees): 3.179 3.179 10.243 81.07 81.07 60.00
Fractional coordinates of all 4 atoms:
Sc 0.000 0.000 0.000
Hf 0.099 0.099 0.704
Hf 0.901 0.901 0.296
Mo 0.500 0.500 0.500

magnetic moment	0.000	μB per atom
final energy	-8.96	eV/atom
relative energy among the computed polymorphs	0.292	eV per atom
density	9.38	g cm⁻³
E_form	0.3077	eV per atom

***

2.
This record from Alexandria describes LiAl2Cd after structural relaxation. The functional is PBE-GGA.

Lattice parameters (Å, degrees): 4.924 2.995 4.941 89.07 90.00 90.00
Fractional coordinates of all 4 atoms:
Al 0.000 0.014 0.993
Al 0.000 0.486 0.507
Cd 0.500 0.250 0.250
Li 0.500 0.750 0.750

magnetic moment	0.000	μB per atom
final energy	-2.58	eV/atom
density	3.95	g cm⁻³
E_form	-0.0054	eV per atom

***

3.
This record from Alexandria describes TiCo3As after structural relaxation. The functional is PBE-GGA.

Lattice parameters (Å, degrees): 4.299 4.299 4.299 90.00 90.00 90.00
Each line ends with the local moment (μB).
Fractional coordinates of all 5 atoms:
Co 0.500 0.000 0.000  0.61
Co 0.000 0.500 0.000  0.80
Co 0.000 0.000 0.500  0.68
As 0.500 0.500 0.500  0.01
Ti 0.000 0.000 0.000  -0.34

magnetic moment	0.340	μB per atom
final energy	-5.70	eV/atom
relative energy among the computed polymorphs	0.573	eV per atom
density	6.26	g cm⁻³
E_form	1.0699	eV per atom

***

4.
This record from Alexandria describes Dy7Tl2Ni2 after structural relaxation. The functional is PBE-GGA.

Lattice parameters (Å, degrees): 6.834 6.977 6.834 90.00 108.79 90.00
Fractional coordinates of all 11 atoms:
Dy 0.500 0.243 0.000
Dy 0.000 0.000 0.000
Dy 0.500 0.234 0.500
Dy 0.000 0.243 0.500
Dy 0.000 0.757 0.500
Dy 0.500 0.757 0.000
Dy 0.500 0.766 0.500
Tl 0.182 0.500 0.182
Tl 0.818 0.500 0.818
Ni 0.294 0.000 0.706
Ni 0.706 0.000 0.294

magnetic moment	0.000	μB per atom
final energy	-4.60	eV/atom
density	8.95	g cm⁻³
E_form	-0.1879	eV per atom

***

5.
This record from Alexandria describes CsAsPO after structural relaxation. The functional is PBE-GGA.

Lattice parameters (Å, degrees): 3.724 3.816 7.372 78.56 78.42 78.23
Fractional coordinates of all 4 atoms:
Cs 0.871 0.525 0.103
As 0.498 0.141 0.650
O 0.419 0.072 0.894
P 0.138 0.795 0.541

magnetic moment	0.000	μB per atom
final energy	-4.69	eV/atom
relative energy among the computed polymorphs	0.225	eV per atom
density	4.27	g cm⁻³
E_form (uncorrected)	-0.72	eV per atom

***

6.
This record from Alexandria describes CaZnPb after structural relaxation. The functional is PBE-GGA.

Lattice parameters (Å, degrees): 4.662 4.662 7.250 89.98 89.98 90.01
Fractional coordinates of all 6 atoms:
Zn 0.610 0.373 0.056
Zn 0.111 0.872 0.056
Ca 0.110 0.373 0.758
Ca 0.610 0.872 0.355
Pb 0.110 0.372 0.301
Pb 0.610 0.873 0.812

magnetic moment	0.000	μB per atom
final energy	-2.68	eV/atom
density	6.59	g cm⁻³
E_form	-0.3493	eV per atom

***

7.
This record from Alexandria describes Ca2TlP after structural relaxation. The functional is PBE-GGA.

Lattice parameters (Å, degrees): 5.549 5.549 5.549 128.94 128.94 75.11
Fractional coordinates of all 4 atoms:
Tl 0.750 0.250 0.500
Ca 0.000 0.000 0.000
Ca 0.500 0.500 0.000
P 0.250 0.750 0.500

magnetic moment	0.000	μB per atom
final energy	-3.46	eV/atom
relative energy among the computed polymorphs	0.155	eV per atom
density	5.21	g cm⁻³
E_form	-0.5172	eV per atom

***

8.
This record from Alexandria describes Dy2ErTl3Te6 after structural relaxation. The functional is PBE-GGA.

Lattice parameters (Å, degrees): 7.692 7.692 8.582 98.59 98.59 120.00
Fractional coordinates of all 12 atoms:
Te 0.598 0.929 0.788
Te 0.402 0.071 0.212
Te 0.739 0.739 0.213
Te 0.929 0.598 0.788
Te 0.261 0.261 0.787
Te 0.071 0.402 0.212
Er 0.000 0.000 0.000
Tl 0.833 0.167 0.500
Tl 0.167 0.833 0.500
Tl 0.500 0.500 0.500
Dy 0.333 0.667 0.000
Dy 0.667 0.333 0.000

magnetic moment	0.000	μB per atom
final energy	-4.36	eV/atom
density	7.40	g cm⁻³
E_form (uncorrected)	-1.05	eV per atom